Entry 1:
DyZnPbS3: relaxed, PBE-GGA. Values from VASP.

* DFT total energy: -55.85 eV per cell

Geometry as Quantum ESPRESSO input:
```
&SYSTEM
  ibrav = 0, nat = 12, ntyp = 4
/
ATOMIC_SPECIES
Dy 162.50 Dy.upf
Zn 65.41 Zn.upf
Pb 207.20 Pb.upf
S 32.06 S.upf
ATOMIC_POSITIONS crystal
Dy 0.000 0.000 0.000
Dy 0.000 0.000 0.500
Zn 0.447 0.553 0.750
Zn 0.553 0.447 0.250
Pb 0.249 0.751 0.250
Pb 0.751 0.249 0.750
S 0.056 0.944 0.750
S 0.367 0.633 0.549
S 0.367 0.633 0.951
S 0.633 0.367 0.049
S 0.633 0.367 0.451
S 0.944 0.056 0.250
CELL_PARAMETERS angstrom
1.949 -6.924 0.000
1.949 6.924 0.000
0.000 0.000 10.472
```

---

Entry 2:
HfTlNiAu: relaxed, PBE-GGA. Values from VASP.

* DFT total energy: -21.29 eV per cell

Geometry as Quantum ESPRESSO input:
```
&SYSTEM
  ibrav = 0, nat = 4, ntyp = 4
/
ATOMIC_SPECIES
Hf 178.49 Hf.upf
Tl 204.38 Tl.upf
Ni 58.69 Ni.upf
Au 196.97 Au.upf
ATOMIC_POSITIONS crystal
Hf 0.000 0.000 0.000
Tl 0.250 0.250 0.250
Ni 0.500 0.500 0.500
Au 0.750 0.750 0.750
CELL_PARAMETERS angstrom
0.000 3.307 3.307
3.307 0.000 3.307
3.307 3.307 0.000
```